No. 1
Material: Pr3YMg
Method: DFT, PBE
State: optimized geometry

Calculated values
ρ   5.3 g/cm3
Energy relative to the elements   65 meV/atom
DFT total energy   -44.15 eV for the cell shown
ΔE to the lowest computed polymorph   0 meV/atom
Symmetry   No. 12
Total magnetization   0.00 μB/cell

Lattice parameters (Å, degrees): 11.598 11.598 8.700 108.07 108.07 17.75
Positions (direct):
Pr (0.016, 0.016, 0.225)
Pr (0.176, 0.176, 0.438)
Pr (0.378, 0.378, 0.964)
Pr (0.622, 0.622, 0.036)
Pr (0.824, 0.824, 0.562)
Pr (0.984, 0.984, 0.775)
Y (0.267, 0.267, 0.182)
Y (0.733, 0.733, 0.818)
Mg (0.424, 0.424, 0.403)
Mg (0.576, 0.576, 0.597)


No. 2
Material: Rb4CuSn3Br12
Method: DFT, PBE
State: optimized geometry

Calculated values
Uncorrected formation energy   -1.080 eV/atom
ρ   3.9 g/cm3
DFT total energy   -61.65 eV for the cell shown
Symmetry   No. 229
Total magnetization   0.00 μB/cell

Lattice parameters (Å, degrees): 9.833 9.833 9.833 109.47 109.47 109.47
Positions (direct):
Rb (0.000, 0.000, 0.500)
Rb (0.000, 0.500, 0.000)
Rb (0.500, 0.000, 0.000)
Rb (0.500, 0.500, 0.500)
Cu (0.000, 0.000, 0.000)
Sn (0.000, 0.500, 0.500)
Sn (0.500, 0.000, 0.500)
Sn (0.500, 0.500, 0.000)
Br (0.000, 0.240, 0.240)
Br (0.000, 0.760, 0.760)
Br (0.240, 0.000, 0.240)
Br (0.240, 0.240, 0.000)
Br (0.250, 0.500, 0.750)
Br (0.250, 0.750, 0.500)
Br (0.500, 0.250, 0.750)
Br (0.500, 0.750, 0.250)
Br (0.750, 0.250, 0.500)
Br (0.750, 0.500, 0.250)
Br (0.760, 0.000, 0.760)
Br (0.760, 0.760, 0.000)


No. 3
Material: ZrAsPt2
Method: DFT, PBE
State: optimized geometry

Calculated values
ρ   12.9 g/cm3
Energy relative to the elements   -306 meV/atom
DFT total energy   -26.50 eV for the cell shown
Symmetry   No. 166
Total magnetization   0.00 μB/cell

Lattice parameters (Å, degrees): 9.029 9.029 9.029 19.45 19.45 19.45
Positions (direct):
Zr (0.000, 0.000, 0.000)
As (0.500, 0.500, 0.500)
Pt (0.248, 0.248, 0.248)
Pt (0.752, 0.752, 0.752)


No. 4
Material: HIrPt3
Method: DFT, PBE
State: optimized geometry

Calculated values
ρ   11.2 g/cm3
DFT total energy   -21.30 eV for the cell shown
ΔE to the lowest computed polymorph   1574 meV/atom
Symmetry   No. 221
Total magnetization   1.05 μB/cell

Lattice parameters (Å, degrees): 4.866 4.866 4.866 90.00 90.00 90.00
Positions (direct):
H (0.000, 0.000, 0.000)
Ir (0.500, 0.500, 0.500)
Pt (0.000, 0.500, 0.500)
Pt (0.500, 0.000, 0.500)
Pt (0.500, 0.500, 0.000)


Repeat the first record exactly.
Material: Pr3YMg
Method: DFT, PBE
State: optimized geometry

Calculated values
ρ   5.3 g/cm3
Energy relative to the elements   65 meV/atom
DFT total energy   -44.15 eV for the cell shown
ΔE to the lowest computed polymorph   0 meV/atom
Symmetry   No. 12
Total magnetization   0.00 μB/cell

Lattice parameters (Å, degrees): 11.598 11.598 8.700 108.07 108.07 17.75
Positions (direct):
Pr (0.016, 0.016, 0.225)
Pr (0.176, 0.176, 0.438)
Pr (0.378, 0.378, 0.964)
Pr (0.622, 0.622, 0.036)
Pr (0.824, 0.824, 0.562)
Pr (0.984, 0.984, 0.775)
Y (0.267, 0.267, 0.182)
Y (0.733, 0.733, 0.818)
Mg (0.424, 0.424, 0.403)
Mg (0.576, 0.576, 0.597)


Question: Among the records above, which one has the highest ρ?
Answer: ZrAsPt2


What did the second record say?
Material: Rb4CuSn3Br12
Method: DFT, PBE
State: optimized geometry

Calculated values
Uncorrected formation energy   -1.080 eV/atom
ρ   3.9 g/cm3
DFT total energy   -61.65 eV for the cell shown
Symmetry   No. 229
Total magnetization   0.00 μB/cell

Lattice parameters (Å, degrees): 9.833 9.833 9.833 109.47 109.47 109.47
Positions (direct):
Rb (0.000, 0.000, 0.500)
Rb (0.000, 0.500, 0.000)
Rb (0.500, 0.000, 0.000)
Rb (0.500, 0.500, 0.500)
Cu (0.000, 0.000, 0.000)
Sn (0.000, 0.500, 0.500)
Sn (0.500, 0.000, 0.500)
Sn (0.500, 0.500, 0.000)
Br (0.000, 0.240, 0.240)
Br (0.000, 0.760, 0.760)
Br (0.240, 0.000, 0.240)
Br (0.240, 0.240, 0.000)
Br (0.250, 0.500, 0.750)
Br (0.250, 0.750, 0.500)
Br (0.500, 0.250, 0.750)
Br (0.500, 0.750, 0.250)
Br (0.750, 0.250, 0.500)
Br (0.750, 0.500, 0.250)
Br (0.760, 0.000, 0.760)
Br (0.760, 0.760, 0.000)